VASP calculation (PBE-GGA) on crystalline Dy3Zn2Ni7 at its relaxed geometry.

Lattice parameters (Å, degrees): 5.107 5.107 8.513 72.55 72.55 60.00
Atoms (fractional coordinates):
Dy: 0.000 0.000 0.000
Dy: 0.861 0.861 0.418
Dy: 0.139 0.139 0.582
Zn: 0.667 0.667 0.000
Zn: 0.333 0.333 0.000
Ni: 0.500 0.500 0.500
Ni: 0.917 0.416 0.250
Ni: 0.416 0.917 0.250
Ni: 0.416 0.416 0.250
Ni: 0.083 0.584 0.750
Ni: 0.584 0.584 0.750
Ni: 0.584 0.083 0.750

Properties
ΔH_f (0 K) = -5.31 eV/f.u.